Here is crystalline Dy3Si3Pt at its relaxed geometry from the Alexandria database. Energies are from PBE-GGA.

Geometry as CIF:
```
data_Dy3Si3Pt
_space_group_name_H-M_alt 'P 1'
_space_group_IT_number 1
_space_group_name_Hall 'P 1'
_cell_length_a 4.273
_cell_length_b 5.638
_cell_length_c 13.021
_cell_angle_alpha 84.55
_cell_angle_beta 80.56
_cell_angle_gamma 67.73
loop_
_atom_site_label
_atom_site_fract_x
_atom_site_fract_y
_atom_site_fract_z
_atom_site_occupancy
Dy1 0.603 0.717 0.076 1
Dy2 0.531 0.314 0.624 1
Dy3 0.397 0.283 0.924 1
Dy4 0.255 0.265 0.225 1
Dy5 0.745 0.735 0.775 1
Dy6 0.469 0.686 0.376 1
Si1 0.888 0.149 0.074 1
Si2 0.870 0.719 0.540 1
Si3 0.962 0.847 0.229 1
Si4 0.130 0.281 0.460 1
Si5 0.038 0.153 0.771 1
Si6 0.112 0.851 0.926 1
Pt1 0.749 0.108 0.393 1
Pt2 0.251 0.892 0.607 1
```

Computed properties:
As for the crystal system: monoclinic. The space group is No. 12. For the uncorrected formation energy, the calculation gives -0.99 eV per atom. For the uncorrected energy, the calculation gives -6.146 eV per atom.

=====

Here is crystalline Li3Pm5Sn12 at its relaxed geometry from the Alexandria database. Energies are from PBE-GGA.

Geometry as CIF:
```
data_Li3Pm5Sn12
_space_group_name_H-M_alt 'P 1'
_space_group_IT_number 1
_space_group_name_Hall 'P 1'
_cell_length_a 15.223
_cell_length_b 15.223
_cell_length_c 15.223
_cell_angle_alpha 109.47
_cell_angle_beta 109.47
_cell_angle_gamma 109.47
loop_
_atom_site_label
_atom_site_fract_x
_atom_site_fract_y
_atom_site_fract_z
_atom_site_occupancy
Sn1 0.436 0.353 0.591 1
Sn2 0.262 0.409 0.845 1
Sn3 0.845 0.936 0.083 1
Sn4 0.417 0.655 0.064 1
Sn5 0.409 0.147 0.564 1
Sn6 0.591 0.738 0.655 1
Sn7 0.917 0.564 0.155 1
Sn8 0.064 0.155 0.417 1
Sn9 0.909 0.845 0.762 1
Sn10 0.853 0.591 0.936 1
Sn11 0.738 0.591 0.155 1
Sn12 0.655 0.417 0.564 1
Sn13 0.583 0.345 0.936 1
Sn14 0.564 0.917 0.655 1
Sn15 0.564 0.647 0.409 1
Sn16 0.353 0.917 0.762 1
Sn17 0.409 0.262 0.345 1
Sn18 0.762 0.345 0.909 1
Sn19 0.647 0.564 0.909 1
Sn20 0.917 0.353 0.262 1
Sn21 0.936 0.845 0.583 1
Sn22 0.238 0.655 0.091 1
Sn23 0.845 0.909 0.262 1
Sn24 0.083 0.436 0.845 1
Sn25 0.345 0.762 0.409 1
Sn26 0.238 0.583 0.647 1
Sn27 0.417 0.762 0.853 1
Sn28 0.655 0.238 0.591 1
Sn29 0.738 0.147 0.083 1
Sn30 0.345 0.583 0.436 1
Sn31 0.147 0.738 0.583 1
Sn32 0.647 0.083 0.238 1
Sn33 0.936 0.091 0.853 1
Sn34 0.064 0.909 0.147 1
Sn35 0.762 0.417 0.353 1
Sn36 0.353 0.436 0.091 1
Sn37 0.591 0.853 0.436 1
Sn38 0.091 0.936 0.353 1
Sn39 0.853 0.262 0.417 1
Sn40 0.909 0.064 0.647 1
Sn41 0.083 0.647 0.738 1
Sn42 0.436 0.083 0.345 1
Sn43 0.147 0.409 0.064 1
Sn44 0.091 0.155 0.238 1
Sn45 0.262 0.853 0.917 1
Sn46 0.155 0.064 0.917 1
Sn47 0.583 0.238 0.147 1
Sn48 0.155 0.091 0.738 1
Pm1 0.000 0.500 0.000 1
Pm2 0.875 0.250 0.625 1
Pm3 0.500 0.000 0.500 1
Pm4 0.375 0.250 0.125 1
Pm5 0.750 0.625 0.375 1
Pm6 0.000 0.000 0.000 1
Pm7 0.750 0.125 0.875 1
Pm8 0.500 0.500 0.500 1
Pm9 0.875 0.625 0.750 1
Pm10 0.125 0.750 0.375 1
Pm11 0.250 0.375 0.625 1
Pm12 0.500 0.000 0.000 1
Pm13 0.250 0.875 0.125 1
Pm14 0.625 0.875 0.250 1
Pm15 0.125 0.375 0.250 1
Pm16 0.500 0.500 0.000 1
Pm17 0.000 0.000 0.500 1
Pm18 0.625 0.750 0.875 1
Pm19 0.000 0.500 0.500 1
Pm20 0.375 0.125 0.750 1
Li1 0.875 0.125 0.250 1
Li2 0.125 0.875 0.750 1
Li3 0.750 0.875 0.625 1
Li4 0.625 0.375 0.750 1
Li5 0.250 0.625 0.875 1
Li6 0.250 0.125 0.375 1
Li7 0.750 0.375 0.125 1
Li8 0.375 0.625 0.250 1
Li9 0.125 0.250 0.875 1
Li10 0.375 0.750 0.625 1
Li11 0.625 0.250 0.375 1
Li12 0.875 0.750 0.125 1
```

Computed properties:
As for the crystal system: cubic. The space group is No. 230. Its energy of formation from the pure elements is -0.032 eV per atom. For the uncorrected energy, the calculation gives -3.909 eV per atom.

=====

Here is crystalline NpV2Cr at its relaxed geometry from the Alexandria database. Energies are from PBE-GGA.

Geometry as CIF:
```
data_NpV2Cr
_space_group_name_H-M_alt 'P 1'
_space_group_IT_number 1
_space_group_name_Hall 'P 1'
_cell_length_a 2.854
_cell_length_b 2.854
_cell_length_c 7.236
_cell_angle_alpha 90.00
_cell_angle_beta 90.00
_cell_angle_gamma 90.00
loop_
_atom_site_label
_atom_site_fract_x
_atom_site_fract_y
_atom_site_fract_z
_atom_site_occupancy
Np1 0.500 0.500 0.500 1
V1 0.000 0.000 0.200 1
V2 0.000 0.000 0.800 1
Cr1 0.500 0.500 0.000 1
```

Computed properties:
As for the crystal system: tetragonal. The space group is No. 123. Its energy of formation from the pure elements is 0.246 eV per atom. For the uncorrected energy, the calculation gives -9.954 eV per atom.

=====

Here is crystalline Mn2SiIrS at its relaxed geometry from the Alexandria database. Energies are from PBE-GGA.

Geometry as CIF:
```
data_Mn2SiIrS
_space_group_name_H-M_alt 'P 1'
_space_group_IT_number 1
_space_group_name_Hall 'P 1'
_cell_length_a 5.256
_cell_length_b 3.832
_cell_length_c 7.161
_cell_angle_alpha 90.00
_cell_angle_beta 101.70
_cell_angle_gamma 90.00
loop_
_atom_site_label
_atom_site_fract_x
_atom_site_fract_y
_atom_site_fract_z
_atom_site_occupancy
Si1 0.690 0.000 0.667 1
Si2 0.690 0.500 0.167 1
Mn1 0.010 0.500 0.555 1
Mn2 0.010 0.000 0.055 1
Mn3 0.798 0.000 0.355 1
Mn4 0.798 0.500 0.855 1
Ir1 0.494 0.000 0.959 1
Ir2 0.494 0.500 0.459 1
S1 0.215 0.000 0.368 1
S2 0.215 0.500 0.868 1
```

Computed properties:
As for the crystal system: monoclinic. The space group is No. 8. For the uncorrected formation energy, the calculation gives -0.23 eV per atom. For the uncorrected energy, the calculation gives -7.582 eV per atom.

=====

Here is crystalline CeNdTh2 at its relaxed geometry from the Alexandria database. Energies are from PBE-GGA.

Geometry as CIF:
```
data_CeNdTh2
_space_group_name_H-M_alt 'P 1'
_space_group_IT_number 1
_space_group_name_Hall 'P 1'
_cell_length_a 3.563
_cell_length_b 3.563
_cell_length_c 11.795
_cell_angle_alpha 81.31
_cell_angle_beta 81.31
_cell_angle_gamma 60.00
loop_
_atom_site_label
_atom_site_fract_x
_atom_site_fract_y
_atom_site_fract_z
_atom_site_occupancy
Ce1 0.668 0.668 0.997 1
Th1 0.081 0.081 0.758 1
Th2 0.253 0.253 0.240 1
Nd1 0.498 0.498 0.505 1
```

Computed properties:
As for the crystal system: trigonal. The space group is No. 160. Its energy of formation from the pure elements is 0.055 eV per atom. For the uncorrected energy, the calculation gives -6.330 eV per atom.

=====

Here is crystalline NaMg6Pt5 at its relaxed geometry from the Alexandria database. Energies are from PBE-GGA.

Geometry as CIF:
```
data_NaMg6Pt5
_space_group_name_H-M_alt 'P 1'
_space_group_IT_number 1
_space_group_name_Hall 'P 1'
_cell_length_a 4.693
_cell_length_b 6.047
_cell_length_c 7.254
_cell_angle_alpha 90.00
_cell_angle_beta 103.08
_cell_angle_gamma 90.00
loop_
_atom_site_label
_atom_site_fract_x
_atom_site_fract_y
_atom_site_fract_z
_atom_site_occupancy
Mg1 0.805 0.744 0.646 1
Mg2 0.805 0.256 0.646 1
Mg3 0.500 0.262 0.000 1
Mg4 0.195 0.744 0.354 1
Mg5 0.195 0.256 0.354 1
Mg6 0.500 0.738 0.000 1
Pt1 0.000 0.500 0.000 1
Pt2 0.312 0.500 0.681 1
Pt3 0.325 0.000 0.683 1
Pt4 0.688 0.500 0.319 1
Pt5 0.675 0.000 0.317 1
Na1 0.000 0.000 0.000 1
```

Computed properties:
As for the crystal system: monoclinic. The space group is No. 10. Its energy of formation from the pure elements is -0.707 eV per atom. For the uncorrected energy, the calculation gives -4.131 eV per atom.

=====

Here is crystalline K3HfTa at its relaxed geometry from the Alexandria database. Energies are from PBE-GGA.

Geometry as CIF:
```
data_K3HfTa
_space_group_name_H-M_alt 'P 1'
_space_group_IT_number 1
_space_group_name_Hall 'P 1'
_cell_length_a 6.580
_cell_length_b 6.580
_cell_length_c 6.580
_cell_angle_alpha 90.00
_cell_angle_beta 90.00
_cell_angle_gamma 90.00
loop_
_atom_site_label
_atom_site_fract_x
_atom_site_fract_y
_atom_site_fract_z
_atom_site_occupancy
K1 0.000 0.500 0.000 1
K2 0.000 0.000 0.500 1
K3 0.500 0.000 0.000 1
Hf1 0.500 0.500 0.500 1
Ta1 0.000 0.000 0.000 1
```

Computed properties:
As for the crystal system: cubic. The space group is No. 221. Its energy of formation from the pure elements is 2.289 eV per atom. For the uncorrected energy, the calculation gives -2.730 eV per atom.

=====

Here is crystalline Th8TlTc2 at its relaxed geometry from the Alexandria database. Energies are from PBE-GGA.

Geometry as CIF:
```
data_Th8TlTc2
_space_group_name_H-M_alt 'P 1'
_space_group_IT_number 1
_space_group_name_Hall 'P 1'
_cell_length_a 5.694
_cell_length_b 8.118
_cell_length_c 8.118
_cell_angle_alpha 115.53
_cell_angle_beta 97.67
_cell_angle_gamma 97.67
loop_
_atom_site_label
_atom_site_fract_x
_atom_site_fract_y
_atom_site_fract_z
_atom_site_occupancy
Tc1 0.000 0.709 0.291 1
Tc2 0.000 0.291 0.709 1
Th1 0.697 0.403 0.403 1
Th2 0.929 0.670 0.914 1
Th3 0.071 0.086 0.330 1
Th4 0.071 0.330 0.086 1
Th5 0.303 0.597 0.597 1
Th6 0.500 0.749 0.251 1
Th7 0.500 0.251 0.749 1
Th8 0.929 0.914 0.670 1
Tl1 0.500 0.000 0.000 1
```

Computed properties:
As for the crystal system: monoclinic. The space group is No. 12. Its energy of formation from the pure elements is -0.013 eV per atom. For the uncorrected energy, the calculation gives -7.509 eV per atom.

=====

> Number 2 is which compound?

Li3Pm5Sn12